[1]
PuTaTiN3: optimized geometry, GGA-PBE.

abc: 6.6432 3.0996 8.0511
angles: 90.00 95.14 90.00
Closest atoms and distances in Å follow each position.
Fractional coordinates of all 12 atoms:
Pu 0.1439 0.2500 0.1790  7 N 2.41-2.53
Pu 0.8561 0.7500 0.8210  7 N 2.41-2.53
Ta 0.3618 0.7500 0.8741  5 N 2.11-2.17
Ta 0.6382 0.2500 0.1259  5 N 2.11-2.17
Ti 0.1587 0.2500 0.5840  3 N 2.01-2.02
Ti 0.8413 0.7500 0.4160  3 N 2.01-2.02
N 0.1388 0.2500 0.8639  2 Ta 2.14, 1 Ti 2.27
N 0.1467 0.7500 0.4245  3 Ti 2.01-2.02
N 0.4116 0.7500 0.1364  3 Ta 2.11-2.17
N 0.5884 0.2500 0.8636  3 Ta 2.11-2.17
N 0.8533 0.2500 0.5755  3 Ti 2.01-2.02
N 0.8612 0.7500 0.1361  2 Ta 2.14, 1 Ti 2.27

## Properties
Volume: 13.76 Å³ per atom
Formation energy from raw total energies: -1148 meV/atom
Total energy: -10.990 eV/atom
Magnetization: 8.8 μB/cell

[2]
TmPuTaN3: optimized geometry, GGA-PBE.

abc: 7.0581 3.2866 7.9937
angles: 90.00 92.53 90.00
Closest atoms and distances in Å follow each position.
Fractional coordinates of all 12 atoms:
Tm 0.1005 0.2500 0.3431  5 N 2.21-2.38
Tm 0.8995 0.7500 0.6569  5 N 2.21-2.38
Pu 0.3694 0.7500 0.6555  5 N 2.33-2.61
Pu 0.6306 0.2500 0.3445  5 N 2.33-2.61
Ta 0.3516 0.7500 0.0699  4 N 2.07-2.11
Ta 0.6484 0.2500 0.9301  4 N 2.07-2.11
N 0.1370 0.2500 0.6189  3 Tm 2.21-2.38, 2 Pu 2.33
N 0.3438 0.7500 0.3339  1 Ta 2.11
N 0.3527 0.2500 0.9134  3 Ta 2.07-2.09
N 0.6473 0.7500 0.0866  3 Ta 2.07-2.09
N 0.6562 0.2500 0.6661  1 Ta 2.11
N 0.8630 0.7500 0.3811  3 Tm 2.21-2.38, 2 Pu 2.33

## Properties
Volume: 15.44 Å³ per atom
Formation energy from raw total energies: -1036 meV/atom
Total energy: -10.308 eV/atom
Magnetization: 9.2 μB/cell

[3]
Tm2PuTaN4: optimized geometry, GGA-PBE.

abc: 5.7606 3.3246 5.7662
angles: 90.00 109.07 90.00
Closest atoms and distances in Å follow each position.
Fractional coordinates of all 8 atoms:
Tm 0.0000 0.0000 0.0000  6 N 2.34-2.35
Tm 0.0000 0.5000 0.5000  6 N 2.44-2.45
Pu 0.5000 0.0000 0.5000  6 N 2.36-2.37
Ta 0.5000 0.5000 0.0000  6 N 2.24-2.27
N 0.2591 0.5000 0.2372  1 Ta 2.24, 3 Tm 2.35-2.45, 2 Pu 2.37
N 0.2672 0.0000 0.7687  2 Ta 2.27, 3 Tm 2.34-2.44, 1 Pu 2.36
N 0.7328 0.0000 0.2313  2 Ta 2.27, 3 Tm 2.34-2.44, 1 Pu 2.36
N 0.7409 0.5000 0.7628  1 Ta 2.24, 3 Tm 2.35-2.45, 2 Pu 2.37

## Properties
Volume: 13.05 Å³ per atom
Formation energy from raw total energies: -1482 meV/atom
Total energy: -10.036 eV/atom
Magnetization: 4.7 μB/cell

[4]
PuU2TaN4: optimized geometry, GGA-PBE.

abc: 5.7653 3.3414 5.8708
angles: 90.00 109.03 90.00
Closest atoms and distances in Å follow each position.
Fractional coordinates of all 8 atoms:
Pu 0.0000 0.0000 0.0000  6 N 2.42
U 0.5000 0.0000 0.5000  6 N 2.33-2.34
U 0.5000 0.5000 0.0000  6 N 2.49-2.51
Ta 0.0000 0.5000 0.5000  6 N 2.23-2.27
N 0.2312 0.0000 0.7221  2 Ta 2.27, 3 U 2.33-2.49, 1 Pu 2.42
N 0.2433 0.5000 0.2726  1 Ta 2.23, 2 U 2.34, 2 Pu 2.42
N 0.7567 0.5000 0.7274  1 Ta 2.23, 2 U 2.34, 2 Pu 2.42
N 0.7688 0.0000 0.2779  2 Ta 2.27, 3 U 2.33-2.49, 1 Pu 2.42

## Properties
Volume: 13.36 Å³ per atom
Formation energy from raw total energies: -1264 meV/atom
Total energy: -11.522 eV/atom
Magnetization: 6.6 μB/cell

[5]
Pu2UTaN4: optimized geometry, GGA-PBE.

abc: 5.7902 3.3428 5.8608
angles: 90.00 108.58 90.00
Closest atoms and distances in Å follow each position.
Fractional coordinates of all 8 atoms:
Pu 0.0000 0.0000 0.0000  6 N 2.52
Pu 0.5000 0.5000 0.0000  6 N 2.42-2.43
U 0.0000 0.5000 0.5000  6 N 2.33-2.35
Ta 0.5000 0.0000 0.5000  6 N 2.21-2.26
N 0.2585 0.0000 0.7257  1 Ta 2.21, 2 U 2.35, 2 Pu 2.43
N 0.2725 0.5000 0.2819  2 Ta 2.26, 1 U 2.33, 3 Pu 2.42-2.52
N 0.7275 0.5000 0.7181  2 Ta 2.26, 1 U 2.33, 3 Pu 2.42-2.52
N 0.7415 0.0000 0.2743  1 Ta 2.21, 2 U 2.35, 2 Pu 2.43

## Properties
Volume: 13.44 Å³ per atom
Formation energy from raw total energies: -1288 meV/atom
Total energy: -11.926 eV/atom
Magnetization: 9.3 μB/cell

[6]
Pu2TaWN6: optimized geometry, GGA-PBE.

abc: 5.4767 5.7272 9.5729
angles: 90.00 124.86 90.00
Closest atoms and distances in Å follow each position.
Fractional coordinates of all 20 atoms:
Pu 0.2379 0.0625 0.2486  4 N 2.30-2.39
Pu 0.2379 0.4375 0.7486  4 N 2.30-2.39
Pu 0.7621 0.5625 0.2514  4 N 2.30-2.39
Pu 0.7621 0.9375 0.7514  4 N 2.30-2.39
Ta 0.0000 0.0000 0.5000  6 N 2.07-2.10
Ta 0.0000 0.5000 0.0000  6 N 2.07-2.10
W 0.5000 0.0000 0.0000  6 N 2.03-2.05
W 0.5000 0.5000 0.5000  6 N 2.03-2.05
N 0.1424 0.1919 0.9487  1 W 2.05, 1 Ta 2.10
N 0.1424 0.3081 0.4487  1 W 2.05, 1 Ta 2.10
N 0.2586 0.6985 0.9466  1 W 2.05, 1 Ta 2.09
N 0.2586 0.8015 0.4466  1 W 2.05, 1 Ta 2.09
N 0.3554 0.0342 0.7530  1 W 2.03, 1 Ta 2.07
N 0.3554 0.4658 0.2530  1 W 2.03, 1 Ta 2.07
N 0.6446 0.5342 0.7470  1 W 2.03, 1 Ta 2.07
N 0.6446 0.9658 0.2470  1 W 2.03, 1 Ta 2.07
N 0.7414 0.1985 0.5534  1 W 2.05, 1 Ta 2.09
N 0.7414 0.3015 0.0534  1 W 2.05, 1 Ta 2.09
N 0.8576 0.6919 0.5513  1 W 2.05, 1 Ta 2.10
N 0.8576 0.8081 0.0513  1 W 2.05, 1 Ta 2.10

## Properties
Volume: 12.32 Å³ per atom
Formation energy from raw total energies: -958 meV/atom
Total energy: -11.301 eV/atom
Magnetization: 17.5 μB/cell

[7]
Y2PuTaN4: optimized geometry, GGA-PBE.

abc: 5.8231 3.3581 5.8316
angles: 90.00 108.98 90.00
Closest atoms and distances in Å follow each position.
Fractional coordinates of all 8 atoms:
Y 0.0000 0.0000 0.0000  6 N 2.50-2.51
Y 0.5000 0.5000 0.0000  6 N 2.39-2.41
Pu 0.0000 0.5000 0.5000  6 N 2.36-2.37
Ta 0.5000 0.0000 0.5000  6 N 2.23-2.27
N 0.2612 0.0000 0.7316  1 Ta 2.23, 2 Pu 2.37, 2 Y 2.41
N 0.2724 0.5000 0.2760  2 Ta 2.27, 1 Pu 2.36, 3 Y 2.39-2.50
N 0.7276 0.5000 0.7240  2 Ta 2.27, 1 Pu 2.36, 3 Y 2.39-2.50
N 0.7388 0.0000 0.2684  1 Ta 2.23, 2 Pu 2.37, 2 Y 2.41

## Properties
Volume: 13.48 Å³ per atom
Formation energy from raw total energies: -1418 meV/atom
Total energy: -10.470 eV/atom
Magnetization: 4.7 μB/cell

[8]
Y2Pu3TaN6: optimized geometry, GGA-PBE.

abc: 5.9092 5.9092 5.8810
angles: 99.62 99.62 119.94
Closest atoms and distances in Å follow each position.
Fractional coordinates of all 12 atoms:
Y 0.1666 0.8334 0.0000  6 N 2.44-2.45
Y 0.8334 0.1666 0.0000  6 N 2.44-2.45
Pu 0.0000 0.0000 0.5000  6 N 2.39-2.56
Pu 0.3322 0.6678 0.5000  6 N 2.39-2.58
Pu 0.6678 0.3322 0.5000  6 N 2.39-2.58
Ta 0.5000 0.5000 0.0000  6 N 2.23-2.26
N 0.1150 0.4211 0.7638  1 Ta 2.23, 2 Pu 2.39, 2 Y 2.44
N 0.2725 0.2725 0.2410  1 Ta 2.26, 2 Pu 2.39, 2 Y 2.45
N 0.4211 0.1150 0.7638  1 Ta 2.23, 2 Pu 2.39, 2 Y 2.44
N 0.5789 0.8850 0.2362  1 Ta 2.23, 2 Pu 2.39, 2 Y 2.44
N 0.7275 0.7275 0.7590  1 Ta 2.26, 2 Pu 2.39, 2 Y 2.45
N 0.8850 0.5789 0.2362  1 Ta 2.23, 2 Pu 2.39, 2 Y 2.44

## Properties
Volume: 13.98 Å³ per atom
Formation energy from raw total energies: -1385 meV/atom
Total energy: -11.196 eV/atom
Magnetization: 14.7 μB/cell